1.
Computed, not measured: MgCdOs after structural relaxation at the GGA-PBEsol level of DFT.

Properties
Volume: 248.0 Å³/cell
Energy of formation from the pure elements: 0.94 eV/atom
SG: F-43m (216)
ρ: 8.76 Mg/m³
Offset from the most stable computed form: 0.583 eV per atom

a b c (Å): 6.283 6.283 6.283
angles (deg): 90.00 90.00 90.00
Positions (direct):
Mg 0.000 0.000 0.000
Mg 0.000 0.500 0.500
Mg 0.500 0.000 0.500
Mg 0.500 0.500 0.000
Cd 0.000 0.000 0.500
Cd 0.000 0.500 0.000
Cd 0.500 0.000 0.000
Cd 0.500 0.500 0.500
Os 0.250 0.250 0.250
Os 0.250 0.750 0.750
Os 0.750 0.250 0.750
Os 0.750 0.750 0.250



2.
Computed, not measured: ZrZnRu after structural relaxation at the GGA-PBEsol level of DFT.

Properties
Volume: 223.7 Å³/cell
Energy of formation from the pure elements: -0.01 eV/atom
SG: F-43m (216)
ρ: 7.65 Mg/m³

a b c (Å): 6.070 6.070 6.070
angles (deg): 90.00 90.00 90.00
Positions (direct):
Zr 0.000 0.000 0.000
Zr 0.000 0.500 0.500
Zr 0.500 0.000 0.500
Zr 0.500 0.500 0.000
Zn 0.000 0.000 0.500
Zn 0.000 0.500 0.000
Zn 0.500 0.000 0.000
Zn 0.500 0.500 0.500
Ru 0.250 0.250 0.250
Ru 0.250 0.750 0.750
Ru 0.750 0.250 0.750
Ru 0.750 0.750 0.250



no.,Fermi-level density of states (states/eV per cell)
1,20.84
2,2.94